The following is a GGA-PBE calculation of crystalline RbLiHg2Au at its relaxed geometry, from Alexandria. Values from VASP.

Summary:
Energy relative to the elements = -0.199 eV per atom
Size of the total moment = 0.00 μB per cell
E = -7.8 eV/cell
Excess energy over the best structure of this formula in the dataset = 0.010 eV per atom

The structure in Quantum ESPRESSO input format:
```
&SYSTEM
  ibrav = 0, nat = 5, ntyp = 4
/
ATOMIC_SPECIES
Rb 85.47 Rb.upf
Li 6.94 Li.upf
Hg 200.59 Hg.upf
Au 196.97 Au.upf
ATOMIC_POSITIONS crystal
Rb 0.000 0.000 0.000
Li 0.500 0.500 0.000
Hg 0.000 0.500 0.500
Hg 0.500 0.000 0.500
Au 0.500 0.500 0.500
CELL_PARAMETERS angstrom
5.487 0.000 0.000
0.000 5.487 0.000
0.000 0.000 5.144
```